Record 1
A relaxed YSe2 crystal. Source: the Alexandria database, functional PBE-GGA.

Cell: 3.784 3.784 9.595 Å, 90.00 90.00 90.00°
Space group I4/mmm (No. 139)
Asymmetric unit:
Y 0.000 0.000 0.000 x2
Se 0.000 0.000 0.353 x4

Values from the calculation:
As for the density: 5.97 g/cm3. For the formation energy from raw total energies, the calculation gives -378.6 kJ/mol of formula units. The value obtained for the total magnetization is 0.0 μB/cell.

=====

Record 2
A relaxed NiAsCl2 crystal. Source: the Alexandria database, functional PBE-GGA.

Cell: 6.494 3.494 8.200 Å, 90.00 90.68 90.00°
Space group Cm (No. 8)
Asymmetric unit:
Ni 0.000 0.000 0.000 x2
As 0.327 0.000 0.872 x2
Cl 0.054 0.500 0.182 x2
Cl 0.329 0.000 0.607 x2

Values from the calculation:
As for the density: 3.65 g/cm3. For the formation energy from raw total energies, the calculation gives -176.4 kJ/mol of formula units. The value obtained for the total magnetization is 0.0 μB/cell.

=====

Question: Which of these has the lowest formation energy from raw total energies?
Answer: YSe2

=====

Question: Which value of formation energy from raw total energies does entry 2 give?
Answer: -176.4 kJ/mol of formula units

=====

Question: Which value of formation energy from raw total energies does entry 2 give?
Answer: -176.4 kJ/mol of formula units

=====

Question: The lowest formation energy from raw total energies belongs to which entry?
Answer: YSe2